Entry from OQMD: crystalline SrSmIn4 at its relaxed geometry (PBE).

Cell: 10.3416 10.3416 7.3900 Å, 90.00 90.00 154.19°
With the nearest neighbours (Å) after each atom.
Sites, in units of the cell vectors:
Sr 0.0992 0.9008 0.7500  11 In 3.35-3.74
Sr 0.9008 0.0992 0.2500  11 In 3.35-3.74
Sm 0.2336 0.7664 0.2500  7 In 3.18-3.30
Sm 0.7664 0.2336 0.7500  7 In 3.18-3.30
In 0.0701 0.9299 0.2500  8 In 3.22-3.28, 1 Sm 3.30, 1 Sr 3.41
In 0.3483 0.6517 0.5446  4 In 3.04-3.22, 3 Sm 3.18-3.22, 2 Sr 3.35
In 0.3483 0.6517 0.9554  4 In 3.04-3.22, 3 Sm 3.18-3.22, 2 Sr 3.35
In 0.5000 0.5000 0.0000  6 In 3.08-3.28
In 0.5000 0.5000 0.5000  6 In 3.08-3.28
In 0.6517 0.3483 0.0446  4 In 3.04-3.22, 3 Sm 3.18-3.22, 2 Sr 3.35
In 0.6517 0.3483 0.4554  4 In 3.04-3.22, 3 Sm 3.18-3.22, 2 Sr 3.35
In 0.9299 0.0701 0.7500  8 In 3.22-3.28, 1 Sm 3.30, 1 Sr 3.41

=====

Entry from OQMD: crystalline CoW3 at its relaxed geometry (PBE).

relative energy among the computed polymorphs: 93 meV per atom
formation energy from the elements: 0.34 eV per atom

Cell: 5.5186 5.5186 4.4980 Å, 90.00 90.00 120.00°
With the nearest neighbours (Å) after each atom.
Sites, in units of the cell vectors:
Co 0.3333 0.6667 0.2500  12 W 2.75-2.76
Co 0.6667 0.3333 0.7500  12 W 2.75-2.76
W 0.1672 0.3343 0.7500  8 W 2.75-2.77, 4 Co 2.75-2.76
W 0.1672 0.8328 0.7500  8 W 2.75-2.77, 4 Co 2.75-2.76
W 0.3343 0.1672 0.2500  8 W 2.75-2.77, 4 Co 2.75-2.76
W 0.6657 0.8328 0.7500  8 W 2.75-2.77, 4 Co 2.75-2.76
W 0.8328 0.1672 0.2500  8 W 2.75-2.77, 4 Co 2.75-2.76
W 0.8328 0.6657 0.2500  8 W 2.75-2.77, 4 Co 2.75-2.76

=====

Entry from OQMD: crystalline AcLuGe at its relaxed geometry (PBE).

relative energy among the computed polymorphs: 155 meV per atom

Cell: 7.5180 7.5180 7.5180 Å, 90.00 90.00 90.00°
With the nearest neighbours (Å) after each atom.
Sites, in units of the cell vectors:
Ac 0.0000 0.0000 0.0000  4 Lu 3.26, 4 Ge 3.26
Ac 0.0000 0.5000 0.5000  4 Ge 3.26, 4 Lu 3.26
Ac 0.5000 0.0000 0.5000  4 Ge 3.26, 4 Lu 3.26
Ac 0.5000 0.5000 0.0000  4 Ge 3.26, 4 Lu 3.26
Lu 0.2500 0.2500 0.2500  4 Ac 3.26
Lu 0.2500 0.7500 0.7500  4 Ac 3.26
Lu 0.7500 0.2500 0.7500  4 Ac 3.26
Lu 0.7500 0.7500 0.2500  4 Ac 3.26
Ge 0.2500 0.2500 0.7500  4 Ac 3.26
Ge 0.2500 0.7500 0.2500  4 Ac 3.26
Ge 0.7500 0.2500 0.2500  4 Ac 3.26
Ge 0.7500 0.7500 0.7500  4 Ac 3.26

=====

Entry from OQMD: crystalline TmScSi at its relaxed geometry (PBE).

Cell: 6.5816 6.5816 6.5816 Å, 90.00 90.00 90.00°
With the nearest neighbours (Å) after each atom.
Sites, in units of the cell vectors:
Tm 0.0000 0.0000 0.0000  4 Si 2.85
Tm 0.0000 0.5000 0.5000  4 Si 2.85
Tm 0.5000 0.0000 0.5000  4 Si 2.85
Tm 0.5000 0.5000 0.0000  4 Si 2.85
Sc 0.0000 0.0000 0.5000  4 Si 2.85
Sc 0.0000 0.5000 0.0000  4 Si 2.85
Sc 0.5000 0.0000 0.0000  4 Si 2.85
Sc 0.5000 0.5000 0.5000  4 Si 2.85
Si 0.2500 0.2500 0.7500  4 Tm 2.85, 4 Sc 2.85
Si 0.2500 0.7500 0.2500  4 Tm 2.85, 4 Sc 2.85
Si 0.7500 0.2500 0.2500  4 Tm 2.85, 4 Sc 2.85
Si 0.7500 0.7500 0.7500  4 Tm 2.85, 4 Sc 2.85

=====

Entry from OQMD: crystalline SmZnW at its relaxed geometry (PBE).

relative energy among the computed polymorphs: 632 meV per atom
formation energy from the elements: 1.50 eV per atom

Cell: 6.7723 6.7723 6.7723 Å, 90.00 90.00 90.00°
With the nearest neighbours (Å) after each atom.
Sites, in units of the cell vectors:
Sm 0.0000 0.0000 0.0000  4 Zn 2.93, 4 W 2.93
Sm 0.0000 0.5000 0.5000  4 Zn 2.93, 4 W 2.93
Sm 0.5000 0.0000 0.5000  4 Zn 2.93, 4 W 2.93
Sm 0.5000 0.5000 0.0000  4 Zn 2.93, 4 W 2.93
Zn 0.2500 0.2500 0.2500  4 Sm 2.93
Zn 0.2500 0.7500 0.7500  4 Sm 2.93
Zn 0.7500 0.2500 0.7500  4 Sm 2.93
Zn 0.7500 0.7500 0.2500  4 Sm 2.93
W 0.2500 0.2500 0.7500  4 Sm 2.93
W 0.2500 0.7500 0.2500  4 Sm 2.93
W 0.7500 0.2500 0.2500  4 Sm 2.93
W 0.7500 0.7500 0.7500  4 Sm 2.93

=====

Entry from OQMD: crystalline MgCoW2 at its relaxed geometry (PBE).

Cell: 6.2057 6.2057 6.2057 Å, 90.00 90.00 90.00°
With the nearest neighbours (Å) after each atom.
Sites, in units of the cell vectors:
Mg 0.0000 0.0000 0.0000  4 W 2.69, 4 Co 2.69
Mg 0.0000 0.5000 0.5000  4 W 2.69, 4 Co 2.69
Mg 0.5000 0.0000 0.5000  4 W 2.69, 4 Co 2.69
Mg 0.5000 0.5000 0.0000  4 W 2.69, 4 Co 2.69
Co 0.2500 0.2500 0.2500  4 W 2.69, 4 Mg 2.69
Co 0.2500 0.7500 0.7500  4 W 2.69, 4 Mg 2.69
Co 0.7500 0.2500 0.7500  4 W 2.69, 4 Mg 2.69
Co 0.7500 0.7500 0.2500  4 W 2.69, 4 Mg 2.69
W 0.0000 0.0000 0.5000  4 W 2.69, 4 Co 2.69
W 0.0000 0.5000 0.0000  4 W 2.69, 4 Co 2.69
W 0.2500 0.2500 0.7500  4 W 2.69, 4 Mg 2.69
W 0.2500 0.7500 0.2500  4 W 2.69, 4 Mg 2.69
W 0.5000 0.0000 0.0000  4 W 2.69, 4 Co 2.69
W 0.5000 0.5000 0.5000  4 W 2.69, 4 Co 2.69
W 0.7500 0.2500 0.2500  4 W 2.69, 4 Mg 2.69
W 0.7500 0.7500 0.7500  4 W 2.69, 4 Mg 2.69

=====

Entry from OQMD: crystalline PmCu6Au6 at its relaxed geometry (PBE).

formation energy from the elements: -0.25 eV per atom

Cell: 6.8880 6.8880 6.8880 Å, 135.75 98.27 98.04°
With the nearest neighbours (Å) after each atom.
Sites, in units of the cell vectors:
Pm 0.0000 0.0000 0.0000  8 Au 3.05-3.11, 4 Cu 3.36
Cu 0.0000 0.0000 0.5000  4 Cu 2.59-2.60, 6 Au 2.66-2.74
Cu 0.0000 0.5000 0.0000  4 Cu 2.59-2.60, 6 Au 2.66-2.74
Cu 0.2355 0.7355 0.5000  4 Cu 2.60, 6 Au 2.73-2.78
Cu 0.5000 0.0000 0.0000  4 Cu 2.59-2.60, 6 Au 2.66-2.74
Cu 0.5000 0.5000 0.5000  4 Cu 2.59-2.60, 6 Au 2.66-2.74
Cu 0.7645 0.2645 0.5000  4 Cu 2.60, 6 Au 2.73-2.78
Au 0.1896 0.5000 0.6896  6 Cu 2.66-2.73, 2 Au 2.94
Au 0.3375 0.3375 0.0000  6 Cu 2.72-2.75, 1 Au 2.94
Au 0.3433 0.0000 0.3433  6 Cu 2.74-2.78, 3 Au 2.82-2.94
Au 0.6567 0.0000 0.6567  6 Cu 2.74-2.78, 3 Au 2.82-2.94
Au 0.6625 0.6625 0.0000  6 Cu 2.72-2.75, 1 Au 2.94
Au 0.8104 0.5000 0.3104  6 Cu 2.66-2.73, 2 Au 2.94

=====

Entry from OQMD: crystalline PbAu2 at its relaxed geometry (PBE).

Cell: 5.7798 4.5280 10.2720 Å, 90.00 90.00 90.00°
With the nearest neighbours (Å) after each atom.
Sites, in units of the cell vectors:
Pb 0.2402 0.2500 0.0444  8 Au 3.00-3.35
Pb 0.2598 0.7500 0.5444  8 Au 3.00-3.35
Pb 0.7402 0.2500 0.4556  8 Au 3.00-3.35
Pb 0.7598 0.7500 0.9556  8 Au 3.00-3.35
Au 0.0286 0.2500 0.7387  6 Au 2.89-2.90
Au 0.2366 0.2500 0.3530  4 Au 2.89, 5 Pb 3.00-3.17
Au 0.2634 0.7500 0.8530  4 Au 2.89, 5 Pb 3.00-3.17
Au 0.4714 0.7500 0.2387  6 Au 2.89-2.90
Au 0.5286 0.2500 0.7613  6 Au 2.89-2.90
Au 0.7366 0.2500 0.1470  4 Au 2.89, 5 Pb 3.00-3.17
Au 0.7634 0.7500 0.6470  4 Au 2.89, 5 Pb 3.00-3.17
Au 0.9714 0.7500 0.2613  6 Au 2.89-2.90

=====

Entry from OQMD: crystalline CsTmLuSe3 at its relaxed geometry (PBE).

relative energy among the computed polymorphs: 19 meV per atom

Cell: 8.5252 8.5252 11.0302 Å, 90.00 90.00 150.11°
With the nearest neighbours (Å) after each atom.
Sites, in units of the cell vectors:
Cs 0.2389 0.7611 0.7500  8 Se 3.69-4.00
Cs 0.7611 0.2389 0.2500  8 Se 3.69-4.00
Tm 0.0346 0.9654 0.2500  4 Se 2.66-2.68
Tm 0.9654 0.0346 0.7500  4 Se 2.66-2.68
Lu 0.5000 0.5000 0.0000  6 Se 2.92-2.93
Lu 0.5000 0.5000 0.5000  6 Se 2.92-2.93
Se 0.1144 0.8856 0.0400  1 Tm 2.66, 2 Lu 2.93
Se 0.1144 0.8856 0.4600  1 Tm 2.66, 2 Lu 2.93
Se 0.4413 0.5587 0.2500  2 Tm 2.68, 2 Lu 2.92
Se 0.5587 0.4413 0.7500  2 Tm 2.68, 2 Lu 2.92
Se 0.8856 0.1144 0.5400  1 Tm 2.66, 2 Lu 2.93
Se 0.8856 0.1144 0.9600  1 Tm 2.66, 2 Lu 2.93

=====

| no. | E_tot (eV/atom) |
| --- | --- |
| 1 | -3.237 |
| 2 | -11.157 |
| 3 | -3.951 |
| 4 | -5.883 |
| 5 | -4.815 |
| 6 | -8.232 |
| 7 | -3.837 |
| 8 | -3.474 |
| 9 | -4.903 |